This record from the Alexandria database describes Dy8Al2Sb after structural relaxation. The functional is PBE.

Output
Formation energy from raw total energies: -28 kJ/mol of atoms

Unit cell a=4.9778 b=6.8048 c=9.9668 alpha=103.32 beta=104.46 gamma=90.00
Last column: nearest neighbours and their distance in Å.
Positions (direct):
1 Al 0.8128 0.2502 0.6256  9 Dy 3.04-3.39
2 Dy 0.2151 0.3120 0.4302  3 Al 3.15-3.21, 3 Dy 3.38-3.46
3 Dy 0.3407 0.0236 0.6815  3 Al 3.04-3.10, 1 Sb 3.12, 2 Dy 3.38
4 Dy 0.0306 0.7624 0.0611  1 Al 3.05, 2 Sb 3.10
5 Al 0.1872 0.7498 0.3744  9 Dy 3.04-3.39
6 Dy 0.4047 0.5361 0.8094  1 Sb 3.25, 2 Al 3.39, 6 Dy 3.41-3.62
7 Dy 0.9694 0.2376 0.9389  1 Al 3.05, 2 Sb 3.10
8 Dy 0.7849 0.6880 0.5698  3 Al 3.15-3.21, 3 Dy 3.38-3.46
9 Sb 0.5000 0.0000 0.0000  8 Dy 3.10-3.25
10 Dy 0.5953 0.4639 0.1906  1 Sb 3.25, 2 Al 3.39, 6 Dy 3.41-3.62
11 Dy 0.6593 0.9764 0.3185  3 Al 3.04-3.10, 1 Sb 3.12, 2 Dy 3.38